(1)
A plane-wave DFT calculation with GGA-PBE was carried out for an optimized crystal structure of ErTeI.

E_form (uncorrected)   -1082 meV per atom
V   105.9 Å³/f.u.
Density of states at the Fermi level   0.6 states/eV/f.u.
Total magnetic moment   0.00 Bohr magnetons per cell
Uncorrected energy   -4.167 eV per atom
Energy above the most stable polymorph in this dataset   266 meV/atom

a b c (Å): 7.776 7.776 7.776
angles (deg): 151.63 151.63 40.56
Element x y z (fractional)
Er  0.000  0.000  0.000
Te  0.607  0.607  0.000
I  0.357  0.357  0.000


(2)
A plane-wave DFT calculation with GGA-PBE was carried out for an optimized crystal structure of Er2TeI3.

E_form (uncorrected)   -1218 meV per atom
V   249.1 Å³/f.u.
Density of states at the Fermi level   4.2 states/eV/f.u.
Total magnetic moment   0.00 Bohr magnetons per cell
Uncorrected energy   -4.037 eV per atom

a b c (Å): 11.047 11.047 15.058
angles (deg): 132.46 132.46 21.92
Element x y z (fractional)
Er  0.085  0.085  0.452
Er  0.361  0.361  0.152
Er  0.639  0.639  0.848
Er  0.915  0.915  0.548
Te  0.099  0.099  0.673
Te  0.901  0.901  0.327
I  0.176  0.176  0.031
I  0.276  0.276  0.392
I  0.457  0.457  0.737
I  0.543  0.543  0.263
I  0.724  0.724  0.608
I  0.824  0.824  0.969


(3)
A plane-wave DFT calculation with GGA-PBE was carried out for an optimized crystal structure of Er3TeI7.

E_form (uncorrected)   -1372 meV per atom
V   494.3 Å³/f.u.
Density of states at the Fermi level   0.0 states/eV/f.u.
Total magnetic moment   0.00 Bohr magnetons per cell
Uncorrected energy   -3.889 eV per atom

a b c (Å): 8.690 8.690 10.643
angles (deg): 127.57 127.57 59.98
Element x y z (fractional)
Er  0.000  0.000  0.000
Er  0.000  0.481  0.000
Er  0.481  0.000  0.000
Te  0.045  0.045  0.768
I  0.044  0.555  0.782
I  0.442  0.442  0.238
I  0.442  0.952  0.238
I  0.555  0.044  0.782
I  0.556  0.556  0.783
I  0.947  0.947  0.241
I  0.952  0.442  0.238


(4)
A plane-wave DFT calculation with GGA-PBE was carried out for an optimized crystal structure of Er3Te3I.

E_form (uncorrected)   -1280 meV per atom
V   223.7 Å³/f.u.
Density of states at the Fermi level   3.5 states/eV/f.u.
Total magnetic moment   0.00 Bohr magnetons per cell
Uncorrected energy   -4.803 eV per atom

a b c (Å): 4.310 4.310 12.044
angles (deg): 90.00 90.00 90.00
Element x y z (fractional)
Er  0.000  0.000  0.000
Er  0.500  0.500  0.251
Er  0.500  0.500  0.749
Te  0.000  0.000  0.259
Te  0.000  0.000  0.741
Te  0.500  0.500  0.000
I  0.500  0.500  0.500


(5)
A plane-wave DFT calculation with GGA-PBE was carried out for an optimized crystal structure of ErTeI.

E_form (uncorrected)   -1312 meV per atom
V   119.4 Å³/f.u.
Total magnetic moment   0.00 Bohr magnetons per cell
Uncorrected energy   -4.397 eV per atom
Energy above the most stable polymorph in this dataset   36 meV/atom

a b c (Å): 7.401 4.331 7.461
angles (deg): 90.00 92.92 90.00
Element x y z (fractional)
Er  0.000  0.000  0.000
Er  0.000  0.500  0.500
Te  0.229  0.000  0.685
Te  0.771  0.000  0.315
I  0.251  0.500  0.174
I  0.749  0.500  0.826


(6)
A plane-wave DFT calculation with GGA-PBE was carried out for an optimized crystal structure of ErTeI.

E_form (uncorrected)   -1348 meV per atom
V   120.7 Å³/f.u.
Density of states at the Fermi level   0.0 states/eV/f.u.
Total magnetic moment   0.00 Bohr magnetons per cell
Uncorrected energy   -4.433 eV per atom
Energy above the most stable polymorph in this dataset   0 meV/atom

a b c (Å): 4.336 4.336 7.418
angles (deg): 90.00 90.00 120.00
Element x y z (fractional)
Er  0.000  0.000  0.000
Te  0.333  0.667  0.785
I  0.667  0.333  0.264


(7)
A plane-wave DFT calculation with GGA-PBE was carried out for an optimized crystal structure of Er2Te2I.

E_form (uncorrected)   -1249 meV per atom
V   167.7 Å³/f.u.
Density of states at the Fermi level   2.3 states/eV/f.u.
Total magnetic moment   0.00 Bohr magnetons per cell
Uncorrected energy   -4.641 eV per atom

a b c (Å): 7.504 7.504 7.504
angles (deg): 146.78 133.10 58.68
Element x y z (fractional)
Er  0.182  0.182  0.000
Er  0.818  0.818  0.000
Te  0.344  0.844  0.500
Te  0.656  0.156  0.500
I  0.000  0.500  0.500


(8)
A plane-wave DFT calculation with GGA-PBE was carried out for an optimized crystal structure of ErTeI.

E_form (uncorrected)   -1319 meV per atom
V   108.6 Å³/f.u.
Density of states at the Fermi level   0.0 states/eV/f.u.
Total magnetic moment   0.00 Bohr magnetons per cell
Uncorrected energy   -4.404 eV per atom
Energy above the most stable polymorph in this dataset   29 meV/atom

a b c (Å): 12.741 12.741 12.741
angles (deg): 161.09 161.09 26.87
Element x y z (fractional)
Er  0.164  0.164  0.000
Er  0.836  0.836  0.000
Te  0.294  0.294  0.000
Te  0.706  0.706  0.000
I  0.573  0.073  0.500
I  0.927  0.427  0.500


(9)
A plane-wave DFT calculation with GGA-PBE was carried out for an optimized crystal structure of Er3TeI7.

E_form (uncorrected)   -1372 meV per atom
V   489.9 Å³/f.u.
Density of states at the Fermi level   0.0 states/eV/f.u.
Total magnetic moment   0.00 Bohr magnetons per cell
Uncorrected energy   -3.888 eV per atom

a b c (Å): 8.693 8.693 7.485
angles (deg): 90.00 90.00 120.00
Element x y z (fractional)
Er  0.173  0.346  0.000
Er  0.173  0.827  0.000
Er  0.654  0.827  0.000
Te  0.333  0.667  0.234
I  0.000  0.000  0.758
I  0.007  0.503  0.760
I  0.326  0.163  0.220
I  0.497  0.503  0.760
I  0.497  0.993  0.760
I  0.837  0.163  0.220
I  0.837  0.674  0.220


(10)
A plane-wave DFT calculation with GGA-PBE was carried out for an optimized crystal structure of ErThI2.

E_form (uncorrected)   -534 meV per atom
V   138.2 Å³/f.u.
Density of states at the Fermi level   4.9 states/eV/f.u.
Total magnetic moment   0.00 Bohr magnetons per cell
Uncorrected energy   -4.305 eV per atom

a b c (Å): 11.182 11.182 11.182
angles (deg): 19.64 19.64 19.64
Element x y z (fractional)
Er  0.000  0.000  0.000
Th  0.500  0.500  0.500
I  0.094  0.094  0.094
I  0.906  0.906  0.906


(11)
A plane-wave DFT calculation with GGA-PBE was carried out for an optimized crystal structure of ErThI.

E_form (uncorrected)   61 meV per atom
V   98.6 Å³/f.u.
Density of states at the Fermi level   4.2 states/eV/f.u.
Total magnetic moment   0.00 Bohr magnetons per cell
Uncorrected energy   -4.450 eV per atom
Energy above the most stable polymorph in this dataset   84 meV/atom

a b c (Å): 8.366 8.366 8.366
angles (deg): 37.78 37.78 37.78
Element x y z (fractional)
Er  0.127  0.127  0.127
Er  0.873  0.873  0.873
Th  0.289  0.289  0.289
Th  0.711  0.711  0.711
I  0.425  0.425  0.425
I  0.575  0.575  0.575


(12)
A plane-wave DFT calculation with GGA-PBE was carried out for an optimized crystal structure of ErThI.

E_form (uncorrected)   -23 meV per atom
V   93.3 Å³/f.u.
Density of states at the Fermi level   5.2 states/eV/f.u.
Total magnetic moment   0.00 Bohr magnetons per cell
Uncorrected energy   -4.534 eV per atom
Energy above the most stable polymorph in this dataset   0 meV/atom

a b c (Å): 5.400 5.400 3.697
angles (deg): 90.00 90.00 120.00
Element x y z (fractional)
Er  0.000  0.000  0.000
Th  0.333  0.667  0.500
I  0.667  0.333  0.000


Question: Which formula does entry 2 have?
Answer: Er2TeI3


Question: E_form (uncorrected) of number 4 (Er3Te3I)?
Answer: -1280 meV per atom


Question: Look up the uncorrected energy of the fourth one.
Answer: -4.803 eV per atom


Question: Among the records above, which one has the highest V?
Answer: number 3